Entry i
KY2W: relaxed, PBEsol.

Cell lengths 5.282, 5.282, 5.282 Å; angles 60.00, 60.00, 60.00 degrees
Fractional positions:
K 0.000 0.000 0.000
Y 0.250 0.250 0.250
Y 0.500 0.500 0.500
W 0.750 0.750 0.750

Computed properties:
total magnetization: 0.419 μB per atom
ρ: 6.4 g/cm3
crystal system: cubic



Entry ii
KY2W: relaxed, PBEsol.

Cell lengths 11.701, 11.701, 11.701 Å; angles 17.18, 17.18, 17.18 degrees
Fractional positions:
K 0.000 0.000 0.000
Y 0.226 0.226 0.226
Y 0.774 0.774 0.774
W 0.500 0.500 0.500

Computed properties:
total magnetization: 0.000 μB per atom
ρ: 5.5 g/cm3
crystal system: trigonal



Entry iii
KY2W: relaxed, PBEsol.

Cell lengths 5.204, 5.204, 5.204 Å; angles 60.00, 60.00, 60.00 degrees
Fractional positions:
K 0.000 0.000 0.000
Y 0.250 0.250 0.250
Y 0.750 0.750 0.750
W 0.500 0.500 0.500

Computed properties:
total magnetization: 0.070 μB per atom
ρ: 6.7 g/cm3
crystal system: cubic



Entry iv
KY2W: relaxed, PBEsol.

Cell lengths 3.161, 4.642, 8.483 Å; angles 90.00, 90.00, 90.00 degrees
Fractional positions:
K 0.000 0.000 0.000
Y 0.000 0.000 0.413
Y 0.500 0.500 0.643
W 0.500 0.500 0.301

Computed properties:
total magnetization: 0.001 μB per atom
ρ: 5.3 g/cm3
crystal system: orthorhombic



Stability summary: most stable entry ii, least stable entry i.



Entry i
KZn2W: relaxed, PBEsol.

Cell lengths 2.727, 2.727, 9.752 Å; angles 90.00, 90.00, 90.00 degrees
Fractional positions:
K 0.000 0.000 0.000
Zn 0.500 0.500 0.293
Zn 0.500 0.500 0.707
W 0.000 0.000 0.500

Computed properties:
total magnetization: 0.000 μB per atom
ρ: 8.1 g/cm3
crystal system: tetragonal



Entry ii
KZn2W: relaxed, PBEsol.

Cell lengths 5.493, 5.493, 5.493 Å; angles 138.02, 138.02, 60.87 degrees
Fractional positions:
K 0.000 0.000 0.000
Zn 0.250 0.750 0.500
Zn 0.500 0.500 0.000
W 0.750 0.250 0.500

Computed properties:
total magnetization: 0.305 μB per atom
ρ: 8.0 g/cm3
crystal system: tetragonal



Stability summary: most stable entry i, least stable entry ii.



Entry i
KY2Zr: relaxed, PBEsol.

Cell lengths 3.267, 5.397, 7.843 Å; angles 90.00, 101.67, 90.00 degrees
Fractional positions:
K 0.000 0.000 0.000
Y 0.651 0.500 0.310
Y 0.760 0.000 0.535
Zr 0.323 0.500 0.665

Computed properties:
total magnetization: 0.000 μB per atom
ρ: 3.8 g/cm3
crystal system: monoclinic



Entry ii
KY2Zr: relaxed, PBEsol.

Cell lengths 5.972, 5.972, 6.857 Å; angles 95.89, 95.89, 31.98 degrees
Fractional positions:
K 0.000 0.000 0.000
Y 0.510 0.510 0.525
Y 0.761 0.761 0.290
Zr 0.243 0.243 0.681

Computed properties:
total magnetization: 0.000 μB per atom
ρ: 4.0 g/cm3
crystal system: monoclinic



Stability summary: most stable entry i, least stable entry ii.



Entry i
KZr: relaxed, PBEsol.

Cell lengths 3.394, 3.394, 12.984 Å; angles 90.00, 90.00, 120.00 degrees
Fractional positions:
K 0.333 0.667 0.157
K 0.667 0.333 0.843
Zr 0.333 0.667 0.588
Zr 0.667 0.333 0.412

Computed properties:
total magnetization: 0.000 μB per atom
ρ: 3.3 g/cm3
crystal system: trigonal



Entry ii
KZr: relaxed, PBEsol.

Cell lengths 3.284, 3.284, 12.729 Å; angles 90.00, 90.00, 90.00 degrees
Fractional positions:
K 0.250 0.250 0.163
K 0.750 0.750 0.837
Zr 0.250 0.250 0.577
Zr 0.750 0.750 0.423

Computed properties:
total magnetization: 0.000 μB per atom
ρ: 3.2 g/cm3
crystal system: tetragonal



Stability summary: most stable entry ii, least stable entry i.



Entry i
K2Zr: relaxed, PBEsol.

Cell lengths 8.376, 8.376, 10.336 Å; angles 108.95, 108.95, 22.39 degrees
Fractional positions:
K 0.041 0.041 0.212
K 0.326 0.326 0.350
K 0.674 0.674 0.650
K 0.959 0.959 0.788
Zr 0.317 0.317 0.990
Zr 0.683 0.683 0.010

Computed properties:
total magnetization: 0.000 μB per atom
ρ: 2.2 g/cm3
crystal system: monoclinic



Entry ii
K2Zr: relaxed, PBEsol.

Cell lengths 6.356, 6.356, 7.581 Å; angles 90.00, 90.00, 120.00 degrees
Fractional positions:
K 0.000 0.000 0.000
K 0.000 0.000 0.500
K 0.333 0.667 0.250
K 0.667 0.333 0.750
Zr 0.333 0.667 0.750
Zr 0.667 0.333 0.250

Computed properties:
total magnetization: 1.270 μB per atom
ρ: 2.1 g/cm3
crystal system: hexagonal



Stability summary: most stable entry i, least stable entry ii.



Entry i
KZr2: relaxed, PBEsol.

Cell lengths 5.549, 5.549, 12.221 Å; angles 108.80, 108.80, 33.64 degrees
Fractional positions:
K 0.179 0.179 0.133
K 0.821 0.821 0.867
Zr 0.181 0.181 0.575
Zr 0.477 0.477 0.634
Zr 0.523 0.523 0.366
Zr 0.819 0.819 0.425

Computed properties:
total magnetization: 0.000 μB per atom
ρ: 3.7 g/cm3
crystal system: monoclinic



Entry ii
KZr2: relaxed, PBEsol.

Cell lengths 9.137, 9.137, 6.204 Å; angles 90.00, 90.00, 161.53 degrees
Fractional positions:
K 0.123 0.877 0.750
K 0.877 0.123 0.250
Zr 0.199 0.801 0.250
Zr 0.442 0.558 0.750
Zr 0.558 0.442 0.250
Zr 0.801 0.199 0.750

Computed properties:
total magnetization: 0.000 μB per atom
ρ: 4.5 g/cm3
crystal system: orthorhombic



Stability summary: most stable entry i, least stable entry ii.



Entry i
La: relaxed, PBEsol.

Cell lengths 3.648, 3.648, 5.953 Å; angles 90.00, 90.00, 120.00 degrees
Fractional positions:
La 0.333 0.667 0.250
La 0.667 0.333 0.750

Computed properties:
total magnetization: 0.000 μB per atom
ρ: 6.7 g/cm3
crystal system: hexagonal



Entry ii
La: relaxed, PBEsol.

Cell lengths 3.653, 3.653, 11.735 Å; angles 90.00, 90.00, 120.00 degrees
Fractional positions:
La 0.000 0.000 0.000
La 0.000 0.000 0.500
La 0.333 0.667 0.250
La 0.667 0.333 0.750

Computed properties:
total magnetization: 0.000 μB per atom
ρ: 6.8 g/cm3
crystal system: hexagonal



Entry iii
La: relaxed, PBEsol.

Cell lengths 5.786, 5.786, 3.516 Å; angles 90.00, 90.00, 120.00 degrees
Fractional positions:
La 0.000 0.000 0.000
La 0.333 0.667 0.500
La 0.667 0.333 0.500

Computed properties:
total magnetization: 0.000 μB per atom
ρ: 6.8 g/cm3
crystal system: hexagonal



Stability summary: most stable entry ii, least stable entry i.



Entry i
LiLa5: relaxed, PBEsol.

Cell lengths 7.647, 7.647, 5.179 Å; angles 90.00, 90.00, 141.30 degrees
Fractional positions:
Li 0.000 0.000 0.000
La 0.163 0.837 0.500
La 0.329 0.671 0.000
La 0.500 0.500 0.500
La 0.671 0.329 0.000
La 0.837 0.163 0.500

Computed properties:
total magnetization: 0.000 μB per atom
ρ: 6.2 g/cm3
crystal system: orthorhombic



Entry ii
LiLa5: relaxed, PBEsol.

Cell lengths 6.444, 6.444, 8.967 Å; angles 110.75, 110.75, 33.22 degrees
Fractional positions:
Li 0.000 0.000 0.000
La 0.010 0.010 0.512
La 0.332 0.332 0.685
La 0.360 0.360 0.163
La 0.654 0.654 0.861
La 0.675 0.675 0.316

Computed properties:
total magnetization: 0.000 μB per atom
ρ: 6.1 g/cm3
crystal system: monoclinic



Stability summary: most stable entry ii, least stable entry i.



Entry i
LiLa5: relaxed, PBEsol.

Cell lengths 5.885, 9.218, 9.218 Å; angles 22.67, 90.00, 90.00 degrees
Fractional positions:
Li 0.000 0.000 0.000
La 0.000 0.341 0.341
La 0.000 0.664 0.664
La 0.500 0.202 0.202
La 0.500 0.537 0.537
La 0.500 0.876 0.876

Computed properties:
total magnetization: 0.000 μB per atom
ρ: 6.0 g/cm3
crystal system: orthorhombic



Entry ii
LiLa5: relaxed, PBEsol.

Cell lengths 3.622, 3.622, 14.444 Å; angles 90.00, 90.00, 90.00 degrees
Fractional positions:
Li 0.000 0.000 0.000
La 0.000 0.000 0.322
La 0.000 0.000 0.678
La 0.500 0.500 0.153
La 0.500 0.500 0.500
La 0.500 0.500 0.847

Computed properties:
total magnetization: 0.000 μB per atom
ρ: 6.1 g/cm3
crystal system: tetragonal



Stability summary: most stable entry ii, least stable entry i.



Entry i
Li2La: relaxed, PBEsol.

Cell lengths 8.707, 8.707, 5.241 Å; angles 90.00, 90.00, 157.73 degrees
Fractional positions:
Li 0.046 0.954 0.750
Li 0.402 0.598 0.750
Li 0.598 0.402 0.250
Li 0.954 0.046 0.250
La 0.281 0.719 0.250
La 0.719 0.281 0.750

Computed properties:
total magnetization: 0.000 μB per atom
ρ: 3.4 g/cm3
crystal system: orthorhombic



Entry ii
Li2La: relaxed, PBEsol.

Cell lengths 3.351, 3.351, 8.090 Å; angles 90.00, 90.00, 120.00 degrees
Fractional positions:
Li 0.333 0.667 0.353
Li 0.667 0.333 0.647
La 0.000 0.000 0.000

Computed properties:
total magnetization: 0.000 μB per atom
ρ: 3.2 g/cm3
crystal system: trigonal



Stability summary: most stable entry i, least stable entry ii.



Entry i
Li5La: relaxed, PBEsol.

Cell lengths 5.939, 5.939, 4.533 Å; angles 90.00, 90.00, 120.00 degrees
Fractional positions:
Li 0.000 0.501 0.000
Li 0.333 0.667 0.500
Li 0.499 0.499 0.000
Li 0.501 0.000 0.000
Li 0.667 0.333 0.500
La 0.000 0.000 0.500

Computed properties:
total magnetization: 0.189 μB per atom
ρ: 2.1 g/cm3
crystal system: hexagonal



Entry ii
Li5La: relaxed, PBEsol.

Cell lengths 5.741, 5.741, 5.741 Å; angles 60.00, 60.00, 60.00 degrees
Fractional positions:
Li 0.000 0.000 0.000
Li 0.373 0.373 0.373
Li 0.373 0.373 0.881
Li 0.373 0.881 0.373
Li 0.881 0.373 0.373
La 0.750 0.750 0.750

Computed properties:
total magnetization: 0.000 μB per atom
ρ: 2.2 g/cm3
crystal system: cubic



Stability summary: most stable entry ii, least stable entry i.



Entry i
Li5La: relaxed, PBEsol.

Cell lengths 5.246, 8.545, 8.545 Å; angles 21.18, 90.00, 90.00 degrees
Fractional positions:
Li 0.000 0.000 0.000
Li 0.000 0.307 0.307
Li 0.000 0.658 0.658
Li 0.500 0.209 0.209
Li 0.500 0.564 0.564
La 0.500 0.886 0.886

Computed properties:
total magnetization: 0.000 μB per atom
ρ: 2.1 g/cm3
crystal system: orthorhombic



Entry ii
Li5La: relaxed, PBEsol.

Cell lengths 5.595, 5.595, 8.523 Å; angles 111.50, 111.50, 33.69 degrees
Fractional positions:
Li 0.000 0.000 0.000
Li 0.005 0.005 0.443
Li 0.339 0.339 0.164
Li 0.345 0.345 0.606
Li 0.671 0.671 0.303
La 0.673 0.673 0.803

Computed properties:
total magnetization: 0.000 μB per atom
ρ: 2.1 g/cm3
crystal system: monoclinic



Stability summary: most stable entry ii, least stable entry i.